(1)
## Rb12NaAu5 (PBE)

Data for a geometry-optimized Rb12NaAu5 structure.

Unit cell a=11.8065 b=12.3729 c=13.0805 alpha=90.00 beta=90.00 gamma=90.00
With the nearest neighbours (Å) after each atom.
Space group Immm (No. 71)
One atom of each set of equivalent atoms:
Rb (0.0000, 0.1919, 0.2061) (multiplicity 8)  2 Au 3.54-3.59
Rb (0.1835, 0.5000, 0.1751) (multiplicity 8)  3 Au 3.50-3.54
Rb (0.2067, 0.3253, 0.5000) (multiplicity 8)  2 Au 3.57
Na (0.0000, 0.0000, 0.5000) (multiplicity 2)  12 Rb 4.38-4.71
Au (0.0000, 0.0000, 0.0000) (multiplicity 2)  4 Rb 3.59
Au (0.0000, 0.3772, 0.0000) (multiplicity 4)  1 Au 3.04
Au (0.0000, 0.5000, 0.3894) (multiplicity 4)  1 Au 2.89

Calculated values
* DFT formation energy: -0.16 eV/atom
* E_tot: -1.792 eV/atom
* size of the total moment: 0.0 Bohr magnetons per cell

=====

(2)
## RbNa6Au3 (PBE)

Data for a geometry-optimized RbNa6Au3 structure.

Unit cell a=9.3595 b=4.9970 c=13.1252 alpha=90.00 beta=101.64 gamma=90.00
With the nearest neighbours (Å) after each atom.
Space group P2_1/m (No. 11)
One atom of each set of equivalent atoms:
Rb (0.0522, 0.2500, 0.2319) (multiplicity 2)  4 Au 3.42-3.74
Na (0.1055, 0.2500, 0.5618) (multiplicity 2)  3 Au 3.03-3.15, 3 Na 3.24-3.39
Na (0.2431, 0.7500, 0.0256) (multiplicity 2)  5 Au 2.90-3.07
Na (0.3463, 0.7500, 0.6904) (multiplicity 2)  2 Au 3.00-3.03
Na (0.3819, 0.2500, 0.8969) (multiplicity 2)  4 Au 3.06-3.32, 2 Na 3.42
Na (0.3853, 0.7500, 0.2757) (multiplicity 2)  3 Au 3.09-3.15, 2 Na 3.28-3.45
Na (0.3967, 0.2500, 0.4637) (multiplicity 2)  2 Au 2.98, 3 Na 3.19-3.24
Au (0.0861, 0.2500, 0.9772) (multiplicity 2)  4 Na 2.90-3.16, 3 Au 3.10-3.18
Au (0.2225, 0.7500, 0.4582) (multiplicity 2)  7 Na 2.98-3.15
Au (0.3958, 0.2500, 0.1315) (multiplicity 2)  8 Na 3.00-3.32, 1 Au 3.18

Calculated values
* DFT formation energy: -0.20 eV/atom
* E_tot: -2.073 eV/atom
* size of the total moment: 0.0 Bohr magnetons per cell

=====

(3)
## Rb2Na7Au2 (PBE)

Data for a geometry-optimized Rb2Na7Au2 structure.

Unit cell a=15.2439 b=11.3794 c=4.9358 alpha=90.00 beta=108.76 gamma=90.00
With the nearest neighbours (Å) after each atom.
Space group C2/m (No. 12)
One atom of each set of equivalent atoms:
Rb (0.1302, 0.0000, 0.1306) (multiplicity 4)  1 Rb 3.76, 6 Na 3.88-4.06, 2 Au 3.90
Na (0.0000, 0.5000, 0.5000) (multiplicity 2)  8 Na 3.25-3.28, 4 Au 3.36
Na (0.1297, 0.2630, 0.6293) (multiplicity 8)  2 Au 3.12-3.13, 1 Na 3.28
Na (0.1465, 0.5000, 0.1463) (multiplicity 4)  2 Au 3.10, 2 Na 3.25
Au (0.0000, 0.3003, 0.0000) (multiplicity 4)  8 Na 3.10-3.36

Calculated values
* DFT formation energy: -0.10 eV/atom
* E_tot: -1.707 eV/atom
* size of the total moment: 0.0 Bohr magnetons per cell

=====

(4)
## RbNa3Au (PBE)

Data for a geometry-optimized RbNa3Au structure.

Unit cell a=6.5008 b=6.5008 c=6.5008 alpha=90.00 beta=90.00 gamma=90.00
With the nearest neighbours (Å) after each atom.
Space group Pm-3m (No. 221)
One atom of each set of equivalent atoms:
Rb (0.0000, 0.0000, 0.0000) (multiplicity 1)  6 Na 3.25
Na (0.0000, 0.0000, 0.5000) (multiplicity 3)  2 Rb 3.25
Au (0.5000, 0.5000, 0.5000) (multiplicity 1)  12 Na 4.60

Calculated values
* DFT formation energy: 0.67 eV/atom
* E_tot: -0.969 eV/atom
* ΔE to the lowest computed polymorph: 825 meV per atom
* size of the total moment: 0.0 Bohr magnetons per cell

=====

Repeat the third record exactly.
## Rb2Na7Au2 (PBE)

Data for a geometry-optimized Rb2Na7Au2 structure.

Unit cell a=15.2439 b=11.3794 c=4.9358 alpha=90.00 beta=108.76 gamma=90.00
With the nearest neighbours (Å) after each atom.
Space group C2/m (No. 12)
One atom of each set of equivalent atoms:
Rb (0.1302, 0.0000, 0.1306) (multiplicity 4)  1 Rb 3.76, 6 Na 3.88-4.06, 2 Au 3.90
Na (0.0000, 0.5000, 0.5000) (multiplicity 2)  8 Na 3.25-3.28, 4 Au 3.36
Na (0.1297, 0.2630, 0.6293) (multiplicity 8)  2 Au 3.12-3.13, 1 Na 3.28
Na (0.1465, 0.5000, 0.1463) (multiplicity 4)  2 Au 3.10, 2 Na 3.25
Au (0.0000, 0.3003, 0.0000) (multiplicity 4)  8 Na 3.10-3.36

Calculated values
* DFT formation energy: -0.10 eV/atom
* E_tot: -1.707 eV/atom
* size of the total moment: 0.0 Bohr magnetons per cell

=====

Repeat the third record exactly.
## Rb2Na7Au2 (PBE)

Data for a geometry-optimized Rb2Na7Au2 structure.

Unit cell a=15.2439 b=11.3794 c=4.9358 alpha=90.00 beta=108.76 gamma=90.00
With the nearest neighbours (Å) after each atom.
Space group C2/m (No. 12)
One atom of each set of equivalent atoms:
Rb (0.1302, 0.0000, 0.1306) (multiplicity 4)  1 Rb 3.76, 6 Na 3.88-4.06, 2 Au 3.90
Na (0.0000, 0.5000, 0.5000) (multiplicity 2)  8 Na 3.25-3.28, 4 Au 3.36
Na (0.1297, 0.2630, 0.6293) (multiplicity 8)  2 Au 3.12-3.13, 1 Na 3.28
Na (0.1465, 0.5000, 0.1463) (multiplicity 4)  2 Au 3.10, 2 Na 3.25
Au (0.0000, 0.3003, 0.0000) (multiplicity 4)  8 Na 3.10-3.36

Calculated values
* DFT formation energy: -0.10 eV/atom
* E_tot: -1.707 eV/atom
* size of the total moment: 0.0 Bohr magnetons per cell